A plane-wave DFT calculation with GGA+U was carried out for a geometry-optimized HfTcSnWF structure.

abc: 10.762 3.239 5.452
angles: 90.00 103.39 90.00
Space group Cm (No. 8)
Symmetry-distinct sites (fractional):
Hf (0.000, 0.000, 0.000) (multiplicity 2)
Tc (0.137, 0.000, 0.512) (multiplicity 2)
Sn (0.240, 0.500, 0.159) (multiplicity 2)
W (0.467, 0.000, 0.448) (multiplicity 2)
F (0.369, 0.000, 0.767) (multiplicity 2)

Values from the calculation:
The value obtained for the volume is 185 Å³/cell. The value obtained for the magnetization is 0.0 μB per cell. For the energy above the most stable polymorph in this dataset, the calculation gives 0.368 eV per atom.